Crystalline LiCePmTc at its relaxed geometry. Source: the Alexandria database, functional PBE.

Cell lengths 5.0067, 5.0067, 5.0067 Å; angles 60.00, 60.00, 60.00 degrees
With the nearest neighbours (Å) after each atom.
Positions (direct):
Ce 0.2500 0.2500 0.2500  4 Tc 3.07, 4 Li 3.07
Pm 0.7500 0.7500 0.7500  4 Li 3.07, 4 Tc 3.07
Tc 0.5000 0.5000 0.5000  4 Ce 3.07, 4 Pm 3.07
Li 0.0000 0.0000 0.0000  4 Pm 3.07, 4 Ce 3.07

**Crystal system**: cubic
**SG**: F-43m (216)
**E**: -22.7 eV for the cell shown
**Formation enthalpy at 0 K**: 0.05 eV per atom
**Calculated volume**: 22.2 Å³/atom



Crystalline Li2CePmTe4 at its relaxed geometry. Source: the Alexandria database, functional PBE.

Cell lengths 4.4589, 7.7169, 7.5240 Å; angles 109.95, 90.00, 90.00 degrees
With the nearest neighbours (Å) after each atom.
Positions (direct):
Te 0.0000 0.7521 0.2612  3 Li 3.07-3.08, 2 Pm 3.16, 1 Ce 3.18
Pm 0.5000 0.5000 0.0000  6 Te 3.16
Ce 0.0000 0.0000 0.0000  6 Te 3.18
Te 0.5000 0.2556 0.2621  3 Li 3.07-3.08, 1 Pm 3.16, 2 Ce 3.18
Li 0.0000 0.5000 0.5000  6 Te 3.07
Te 0.0000 0.2479 0.7388  3 Li 3.07-3.08, 2 Pm 3.16, 1 Ce 3.18
Li 0.5000 0.0000 0.5000  6 Te 3.08
Te 0.5000 0.7444 0.7379  3 Li 3.07-3.08, 1 Pm 3.16, 2 Ce 3.18

**Crystal system**: monoclinic
**SG**: P2/m (10)
**E**: -37.2 eV for the cell shown
**E_form (uncorrected)**: -1.26 eV per atom
**Calculated volume**: 30.4 Å³/atom



Crystalline LiCe3Pm2Te6 at its relaxed geometry. Source: the Alexandria database, functional PBE.

Cell lengths 4.4493, 8.9340, 9.9821 Å; angles 103.09, 102.88, 90.00 degrees
With the nearest neighbours (Å) after each atom.
Positions (direct):
Te 0.3393 0.9166 0.6787  1 Li 3.04, 2 Pm 3.16, 3 Ce 3.17-3.24
Te 0.3338 0.4156 0.6675  3 Pm 3.13-3.14, 3 Ce 3.15
Te 0.9997 0.7615 0.9994  2 Li 3.08, 1 Pm 3.18, 3 Ce 3.19-3.23
Ce 0.8317 0.1648 0.6634  6 Te 3.15-3.24
Te 0.6607 0.0834 0.3213  1 Li 3.04, 2 Pm 3.16, 3 Ce 3.17-3.24
Pm 0.8320 0.6619 0.6641  6 Te 3.13-3.18
Ce 0.5000 0.5000 0.0000  6 Te 3.15-3.23
Li 0.5000 0.0000 0.0000  6 Te 3.04-3.08
Te 0.0003 0.2385 0.0006  2 Li 3.08, 1 Pm 3.18, 3 Ce 3.19-3.23
Te 0.6662 0.5844 0.3325  3 Pm 3.13-3.14, 3 Ce 3.15
Ce 0.1683 0.8352 0.3366  6 Te 3.15-3.24
Pm 0.1680 0.3381 0.3359  6 Te 3.13-3.18

**Crystal system**: monoclinic
**SG**: C2/m (12)
**E**: -64.3 eV for the cell shown
**E_form (uncorrected)**: -1.35 eV per atom
**Calculated volume**: 31.4 Å³/atom



Crystalline LiCePmTe3 at its relaxed geometry. Source: the Alexandria database, functional PBE.

Cell lengths 4.3286, 9.1572, 9.6318 Å; angles 103.47, 90.00, 90.00 degrees
With the nearest neighbours (Å) after each atom.
Positions (direct):
Li 0.2500 0.0857 0.5858  4 Te 2.74-2.78, 2 Li 2.94
Te 0.7500 0.9105 0.1277  1 Li 2.75
Te 0.2500 0.0895 0.8723  1 Li 2.75
Li 0.7500 0.9143 0.4142  4 Te 2.74-2.78, 2 Li 2.94
Pm 0.2500 0.6672 0.1573  6 Te 3.13-3.23
Te 0.2500 0.7744 0.5013  3 Li 2.74-2.78
Ce 0.7500 0.8153 0.7711  7 Te 3.21-3.34
Te 0.7500 0.2256 0.4987  3 Li 2.74-2.78
Ce 0.2500 0.1847 0.2289  7 Te 3.21-3.34
Te 0.7500 0.4278 0.1809  3 Pm 3.13-3.17, 2 Ce 3.21
Te 0.2500 0.5722 0.8191  3 Pm 3.13-3.17, 2 Ce 3.21
Pm 0.7500 0.3328 0.8427  6 Te 3.13-3.23

**Crystal system**: monoclinic
**SG**: P2_1/m (11)
**E**: -59.5 eV for the cell shown
**E_form (uncorrected)**: -1.28 eV per atom
**Calculated volume**: 30.9 Å³/atom